# 1
Below is a relaxed structure of ErTm4Ga4, with properties calculated at the PBE level.

Cell: 5.861 8.950 8.950 Å, 90.00 90.00 90.00°
Element x y z (fractional)
Er 0.000 0.000 0.000
Er 0.500 0.500 0.500
Tm 0.379 0.319 0.908
Tm 0.879 0.592 0.819
Tm 0.379 0.681 0.092
Tm 0.121 0.181 0.592
Tm 0.621 0.908 0.681
Tm 0.121 0.819 0.408
Tm 0.879 0.408 0.181
Tm 0.621 0.092 0.319
Ga 0.630 0.774 0.369
Ga 0.630 0.226 0.631
Ga 0.130 0.869 0.726
Ga 0.870 0.274 0.869
Ga 0.870 0.726 0.131
Ga 0.370 0.369 0.226
Ga 0.370 0.631 0.774
Ga 0.130 0.131 0.274

Summary:
The density of states at the Fermi level is 12.4 states/eV/cell. For the total magnetization, the calculation gives 0.00 μB per cell. As for the symmetry: P4_2/n, No. 86. Its energy of formation is -0.349 eV per atom.

# 2
Below is a relaxed structure of Er3TmGa4, with properties calculated at the PBE level.

Cell: 4.997 4.997 8.677 Å, 73.26 73.26 60.00°
Element x y z (fractional)
Tm 0.000 0.000 0.000
Ga 0.875 0.875 0.375
Ga 0.375 0.375 0.876
Ga 0.125 0.125 0.625
Ga 0.625 0.625 0.124
Er 0.250 0.250 0.249
Er 0.750 0.750 0.751
Er 0.500 0.500 0.500

Summary:
The density of states at the Fermi level is 3.3 states/eV/cell. For the total magnetization, the calculation gives 0.00 μB per cell. As for the symmetry: R-3m, No. 166. The excess energy over the best structure of this formula in the dataset comes out at 0 meV/atom. Its energy of formation is -0.571 eV per atom.

# 3
Below is a relaxed structure of Er2Tm3Ga4, with properties calculated at the PBE level.

Cell: 7.260 7.840 7.897 Å, 90.00 90.00 106.47°
Element x y z (fractional)
Er 0.571 0.187 0.313
Er 0.929 0.813 0.813
Er 0.429 0.813 0.687
Er 0.071 0.187 0.187
Tm 0.000 0.500 0.500
Tm 0.500 0.500 0.000
Tm 0.752 0.239 0.826
Tm 0.748 0.761 0.326
Tm 0.248 0.761 0.174
Tm 0.252 0.239 0.674
Ga 0.860 0.082 0.529
Ga 0.640 0.918 0.029
Ga 0.140 0.918 0.471
Ga 0.360 0.082 0.971
Ga 0.878 0.486 0.127
Ga 0.622 0.514 0.627
Ga 0.122 0.514 0.873
Ga 0.378 0.486 0.373

Summary:
The density of states at the Fermi level is 13.0 states/eV/cell. For the total magnetization, the calculation gives 0.00 μB per cell. As for the symmetry: P2_1/c, No. 14. The excess energy over the best structure of this formula in the dataset comes out at 0 meV/atom. Its energy of formation is -0.574 eV per atom.

# 4
Below is a relaxed structure of Er2Tm6Ga, with properties calculated at the PBE level.

Cell: 3.469 9.039 9.616 Å, 118.04 90.02 90.00°
Element x y z (fractional)
Er 0.500 0.681 0.361
Er 0.500 0.319 0.639
Tm 0.000 0.335 0.322
Tm 0.000 0.013 0.678
Tm 0.000 0.665 0.678
Tm 0.500 0.288 0.000
Tm 0.000 0.987 0.322
Tm 0.500 0.712 0.000
Ga 0.000 0.000 0.000

Summary:
The density of states at the Fermi level is 11.4 states/eV/cell. For the total magnetization, the calculation gives 0.00 μB per cell. As for the symmetry: Cmmm, No. 65. Its energy of formation is 0.019 eV per atom.

# 5
Below is a relaxed structure of ErTmGa4, with properties calculated at the PBE level.

Cell: 4.423 4.423 6.957 Å, 90.00 90.00 120.00°
Element x y z (fractional)
Er 0.000 0.000 0.000
Tm 0.000 0.000 0.500
Ga 0.333 0.667 0.252
Ga 0.333 0.667 0.748
Ga 0.667 0.333 0.252
Ga 0.667 0.333 0.748

Summary:
The density of states at the Fermi level is 1.0 states/eV/cell. For the total magnetization, the calculation gives 0.00 μB per cell. As for the symmetry: P6/mmm, No. 191. The excess energy over the best structure of this formula in the dataset comes out at 0 meV/atom. Its energy of formation is -0.594 eV per atom.

# 6
Below is a relaxed structure of Er6Tm2Ga, with properties calculated at the PBE level.

Cell: 3.481 9.064 9.625 Å, 118.09 89.96 90.00°
Element x y z (fractional)
Er 0.000 0.335 0.323
Er 0.000 0.012 0.677
Er 0.000 0.665 0.677
Er 0.500 0.288 0.000
Er 0.000 0.988 0.323
Er 0.500 0.712 0.000
Tm 0.501 0.680 0.360
Tm 0.499 0.320 0.640
Ga 0.000 0.000 0.000

Summary:
The density of states at the Fermi level is 11.0 states/eV/cell. For the total magnetization, the calculation gives 0.00 μB per cell. As for the symmetry: Cmmm, No. 65. Its energy of formation is 0.018 eV per atom.

# 7
Below is a relaxed structure of Er2UGa9, with properties calculated at the PBE level.

Cell: 4.236 4.236 12.817 Å, 90.00 90.00 90.00°
Site moments in Bohr magnetons follow the coordinates.
Element x y z (fractional)
Er 0.000 0.000 0.334  -0.01
Er 0.000 0.000 0.666  -0.01
U 0.000 0.000 0.000  1.94
Ga 0.500 0.500 0.000  0.03
Ga 0.500 0.500 0.333  0.00
Ga 0.500 0.500 0.667  0.00
Ga 0.500 0.000 0.166  0.01
Ga 0.500 0.000 0.500  -0.01
Ga 0.500 0.000 0.834  0.01
Ga 0.000 0.500 0.166  0.01
Ga 0.000 0.500 0.500  -0.01
Ga 0.000 0.500 0.834  0.01

Summary:
The density of states at the Fermi level is 8.3 states/eV/cell. For the total magnetization, the calculation gives 2.16 μB per cell. As for the symmetry: P4/mmm, No. 123. Its energy of formation is -0.433 eV per atom.

# 8
Below is a relaxed structure of ErUGa4, with properties calculated at the PBE level.

Cell: 5.504 5.504 5.504 Å, 60.00 60.00 60.00°
Site moments in Bohr magnetons follow the coordinates.
Element x y z (fractional)
U 0.000 0.000 0.000  2.57
Ga 0.625 0.625 0.124  0.01
Ga 0.625 0.124 0.625  0.01
Ga 0.625 0.625 0.625  0.01
Ga 0.124 0.625 0.625  0.01
Er 0.250 0.250 0.250  0.25

Summary:
The density of states at the Fermi level is 8.8 states/eV/cell. For the total magnetization, the calculation gives 3.21 μB per cell. As for the symmetry: F-43m, No. 216. Its energy of formation is -0.258 eV per atom.

energy of formation of number 4 (Er2Tm6Ga)?
0.019 eV per atom

What did the seventh record say?
Below is a relaxed structure of Er2UGa9, with properties calculated at the PBE level.

Cell: 4.236 4.236 12.817 Å, 90.00 90.00 90.00°
Site moments in Bohr magnetons follow the coordinates.
Element x y z (fractional)
Er 0.000 0.000 0.334  -0.01
Er 0.000 0.000 0.666  -0.01
U 0.000 0.000 0.000  1.94
Ga 0.500 0.500 0.000  0.03
Ga 0.500 0.500 0.333  0.00
Ga 0.500 0.500 0.667  0.00
Ga 0.500 0.000 0.166  0.01
Ga 0.500 0.000 0.500  -0.01
Ga 0.500 0.000 0.834  0.01
Ga 0.000 0.500 0.166  0.01
Ga 0.000 0.500 0.500  -0.01
Ga 0.000 0.500 0.834  0.01

Summary:
The density of states at the Fermi level is 8.3 states/eV/cell. For the total magnetization, the calculation gives 2.16 μB per cell. As for the symmetry: P4/mmm, No. 123. Its energy of formation is -0.433 eV per atom.

Which value of total magnetization does entry 4 give?
0.00 μB per cell

Among the records above, which one has the highest energy of formation?
Er2Tm6Ga